{"formula": "Ac3In2Te8", "functional": "GGA-PBE", "state": "optimized geometry", "sg": "No. 166", "e_form_raw_ev_per_atom": -0.736, "dos_ef_per_ev_fu": 7.39, "lattice_angstrom": [[8.012, 0.000, 0.000], [4.006, 6.938, 0.000], [4.006, 2.313, 9.302]], "species": ["Ac", "Ac", "Ac", "In", "In", "Te", "Te", "Te", "Te", "Te", "Te", "Te", "Te"], "fractional_positions": [[0.000, 0.000, 0.000], [0.799, 0.799, 0.604], [0.201, 0.201, 0.396], [0.590, 0.590, 0.229], [0.410, 0.410, 0.771], [0.688, 0.688, 0.935], [0.312, 0.312, 0.065], [0.184, 0.753, 0.311], [0.753, 0.184, 0.311], [0.753, 0.753, 0.311], [0.247, 0.816, 0.689], [0.816, 0.247, 0.689], [0.247, 0.247, 0.689]]}

{"formula": "Zr3Pd6Au", "functional": "GGA-PBE", "state": "optimized geometry", "sg": "No. 36", "delta_e_f_ev_per_fu": -5.35, "dos_ef_per_ev_fu": 5.37, "lattice_angstrom": [[-2.347, -4.256, 0.610], [3.108, -2.848, -7.913], [5.388, -1.985, 6.886]], "species": ["Zr", "Zr", "Zr", "Zr", "Zr", "Zr", "Pd", "Pd", "Pd", "Pd", "Pd", "Pd", "Pd", "Pd", "Pd", "Pd", "Pd", "Pd", "Au", "Au"], "fractional_positions": [[0.454, 0.928, 0.726], [0.954, 0.726, 0.928], [0.099, 0.390, 0.610], [0.599, 0.610, 0.390], [0.954, 0.072, 0.274], [0.454, 0.274, 0.072], [0.064, 0.695, 0.602], [0.564, 0.602, 0.695], [0.360, 0.539, 0.954], [0.860, 0.954, 0.539], [0.389, 0.958, 0.042], [0.624, 0.288, 0.712], [0.124, 0.712, 0.288], [0.889, 0.042, 0.958], [0.360, 0.046, 0.461], [0.860, 0.461, 0.046], [0.064, 0.398, 0.305], [0.564, 0.305, 0.398], [0.119, 0.204, 0.796], [0.619, 0.796, 0.204]]}

{"formula": "TbHgCl3", "functional": "GGA-PBE", "state": "optimized geometry", "sg": "No. 221", "e_form_raw_ev_per_atom": -1.715, "dos_ef_per_ev_fu": 0.00, "lattice_angstrom": [[5.360, 0.000, 0.000], [0.000, 5.360, 0.000], [0.000, 0.000, 5.360]], "species": ["Tb", "Hg", "Cl", "Cl", "Cl"], "fractional_positions": [[0.000, 0.000, 0.000], [0.500, 0.500, 0.500], [0.000, 0.500, 0.000], [0.000, 0.000, 0.500], [0.500, 0.000, 0.000]]}

{"formula": "SrOsIBr2", "functional": "GGA-PBE", "state": "optimized geometry", "sg": "No. 123", "e_form_raw_ev_per_atom": 0.520, "dos_ef_per_ev_fu": 5.71, "lattice_angstrom": [[-4.920, 2.847, -0.084], [-0.079, -0.350, -7.286], [-2.847, -4.913, 0.267]], "species": ["I", "Sr", "Os", "Br", "Br"], "fractional_positions": [[0.500, 0.500, 0.500], [0.000, 0.000, 0.000], [0.000, 0.500, 0.000], [0.000, 0.000, 0.500], [0.500, 0.000, 0.000]]}

{"formula": "GdDyZn2", "functional": "GGA-PBE", "state": "optimized geometry", "sg": "No. 225", "delta_e_f_ev_per_fu": -1.39, "polymorph_energy_ev_per_fu": 0.00, "dos_ef_per_ev_fu": 3.10, "lattice_angstrom": [[5.073, 0.000, 0.000], [2.537, 4.394, 0.000], [2.537, 1.465, 4.142]], "species": ["Zn", "Zn", "Gd", "Dy"], "fractional_positions": [[0.250, 0.250, 0.250], [0.750, 0.750, 0.750], [0.000, 0.000, 0.000], [0.500, 0.500, 0.500]]}

{"formula": "PmPuGaPt", "functional": "GGA-PBE", "state": "optimized geometry", "sg": "No. 216", "delta_e_f_ev_per_fu": -2.33, "dos_ef_per_ev_fu": 9.81, "lattice_angstrom": [[5.087, 0.000, 0.000], [2.543, 4.405, 0.000], [2.543, 1.468, 4.153]], "species": ["Pm", "Ga", "Pt", "Pu"], "fractional_positions": [[0.750, 0.750, 0.750], [0.500, 0.500, 0.500], [0.000, 0.000, 0.000], [0.250, 0.250, 0.250]]}

{"formula": "BeAs2Pt", "functional": "GGA-PBE", "state": "optimized geometry", "sg": "No. 123", "delta_e_f_ev_per_fu": 0.95, "dos_ef_per_ev_fu": 0.98, "lattice_angstrom": [[-3.377, -0.111, -2.252], [-0.194, -4.027, 0.489], [-2.117, 0.485, 3.151]], "species": ["Be", "As", "As", "Pt"], "fractional_positions": [[0.500, 0.000, 0.500], [0.000, 0.000, 0.000], [0.500, 0.500, 0.000], [0.000, 0.500, 0.500]]}

{"formula": "Nd4Sm3HoS8", "functional": "GGA-PBE", "state": "optimized geometry", "sg": "No. 166", "e_form_raw_ev_per_atom": -2.014, "dos_ef_per_ev_fu": 8.45, "lattice_angstrom": [[8.035, 0.000, 0.000], [0.000, 8.068, 0.018], [-4.017, -4.013, 5.684]], "species": ["Nd", "Nd", "Nd", "Nd", "Sm", "Sm", "Sm", "Ho", "S", "S", "S", "S", "S", "S", "S", "S"], "fractional_positions": [[0.500, 0.000, 0.000], [0.500, 0.000, 0.500], [0.000, 0.000, 0.000], [0.000, 0.000, 0.500], [0.500, 0.500, 0.000], [0.500, 0.500, 0.500], [0.000, 0.500, 0.500], [0.000, 0.500, 0.000], [0.243, 0.740, 0.996], [0.243, 0.740, 0.487], [0.252, 0.256, 0.504], [0.753, 0.740, 0.996], [0.247, 0.260, 0.004], [0.748, 0.744, 0.496], [0.757, 0.260, 0.513], [0.757, 0.260, 0.004]]}

Question: What is the formula in the sixth record?
Answer: PmPuGaPt